The following is a DFT calculation (PBE) of Si5Ni4 after structural relaxation. Values from VASP.

Summary:
The space group is P6_3/mcm. The calculation puts the distance to the lowest polymorph of the same formula at 0.0 meV/atom. The density of states at the Fermi level is 8.9 states/eV/cell. The calculated density comes out at 5.59 g/cm³. Its uncorrected formation energy is -0.07 eV/atom.

The structure in Quantum ESPRESSO input format:
```
&SYSTEM
  ibrav = 0, nat = 18, ntyp = 2
/
ATOMIC_SPECIES
Ni 58.69 Ni.upf
Si 28.09 Si.upf
CELL_PARAMETERS angstrom
-3.027 -1.421 -6.732
6.453 -3.300 1.991
-2.330 -3.481 1.782
ATOMIC_POSITIONS crystal
Ni 0.000 0.000 0.000
Ni 0.000 0.000 0.500
Ni 0.000 0.407 0.250
Ni 0.593 0.593 0.250
Ni 0.407 0.000 0.250
Ni 0.000 0.593 0.750
Ni 0.407 0.407 0.750
Ni 0.593 0.000 0.750
Si 0.000 0.721 0.250
Si 0.279 0.279 0.250
Si 0.721 0.000 0.250
Si 0.000 0.279 0.750
Si 0.721 0.721 0.750
Si 0.279 0.000 0.750
Si 0.667 0.333 0.000
Si 0.333 0.667 0.500
Si 0.333 0.667 0.000
Si 0.667 0.333 0.500
```